Density functional theory data (PBE) for AcAg4F12 after structural relaxation.

Its total magnetic moment is 0.0 μB/cell. The energy is -4.0549 eV/atom.

The space group is Im-3 (No. 204) and the conventional cell measures 8.559, 8.559 and 8.559 Å, with angles of 90.00, 90.00 and 90.00 degrees. The asymmetric unit holds Ac at (0.000, 0.000, 0.000), Ag at (0.250, 0.250, 0.250) and F at (0.000, 0.242, 0.204).


Density functional theory data (PBE) for AcAg2F8 after structural relaxation.

Its total magnetic moment is 2.1 μB/cell. The energy above the lowest structure with this stoichiometry comes out at 0.000 eV per atom. The energy is -4.4344 eV/atom.

The space group is I422 (No. 97) and the conventional cell measures 5.840, 5.840 and 11.541 Å, with angles of 90.00, 90.00 and 90.00 degrees. The asymmetric unit holds Ac at (0.000, 0.000, 0.000), Ag at (0.000, 0.500, 0.250) and F at (0.164, 0.310, 0.873).


Density functional theory data (PBE) for Ac2AgF after structural relaxation.

Its total magnetic moment is 0.8 μB/cell. The energy above the lowest structure with this stoichiometry comes out at 0.294 eV per atom. The energy is -4.2054 eV/atom.

The space group is P4/mmm (No. 123) and the conventional cell measures 3.726, 3.726 and 7.983 Å, with angles of 90.00, 90.00 and 90.00 degrees. The asymmetric unit holds Ac at (0.000, 0.000, 0.249), Ag at (0.500, 0.500, 0.500) and F at (0.500, 0.500, 0.000).


Density functional theory data (PBE) for AcAg3F12 after structural relaxation.

Its total magnetic moment is 0.0 μB/cell. The energy is -3.9668 eV/atom.

The space group is R3c (No. 161, hexagonal axes) and the conventional cell measures 10.3924, 10.3924 and 15.5988 Å, with angles of 90.00, 90.00 and 120.00 degrees. The asymmetric unit holds Ac at (0.0000, 0.0000, 0.0000), Ag at (0.0003, 0.3586, 0.4938), F at (0.0434, 0.5202, 0.6663), F at (0.0784, 0.1786, 0.8415), F at (0.1769, 0.0767, 0.1456) and F at (0.1881, 0.3781, 0.6552).


no.,formation energy (no corrections) (eV/f.u.)
1,-30.96
2,-24.00
3,-3.88
4,-28.35